An optimized crystal structure of Tb2NdZn2Si4Au2. Source: OQMD, functional PBE.

Output
- total magnetic moment (Bohr magnetons per cell) = 0.00
- calculated total energy (Ha/atom) = -0.17197

a = 12.684 Å, b = 12.684 Å, c = 12.684 Å
α = 161.02°, β = 160.98°, γ = 27.00°
Atoms (fractional coordinates):
Si  0.952  0.452  0.500
Si  0.311  0.311  0.000
Tb  0.145  0.145  0.000
Au  0.751  0.251  0.500
Si  0.689  0.689  0.000
Si  0.048  0.548  0.500
Zn  0.595  0.595  0.000
Zn  0.405  0.405  0.000
Tb  0.855  0.855  0.000
Nd  0.500  0.000  0.500
Au  0.249  0.749  0.500